Here is Pr3ZnAu after structural relaxation from Alexandria. Energies are from GGA-PBE.

## Properties
Its space group is Cmcm (63). As for the formation energy: -9.250 kcal/mol of atoms. The calculation puts the uncorrected energy at -4.18 eV/atom. The calculation puts the energy above the most stable polymorph in this dataset at 0 meV per atom.

abc: 5.3011 5.3041 10.3893
angles: 90.00 75.22 90.00
Closest atoms and distances in Å follow each position.
Element x y z (fractional)
Pr1 0.7553 0.2500 0.1378  2 Zn 3.15, 2 Au 3.24
Pr2 0.3885 0.2500 0.8712  2 Zn 3.20, 2 Au 3.29
Pr3 0.5725 0.2500 0.5033  4 Au 3.18-3.21, 4 Zn 3.26-3.30
Pr4 0.2597 0.7500 0.1288  2 Zn 3.20, 2 Au 3.29
Pr5 0.8931 0.7500 0.8622  2 Zn 3.15, 2 Au 3.24
Pr6 0.0758 0.7500 0.4967  4 Au 3.17-3.21, 4 Zn 3.26-3.30
Zn1 0.4780 0.7500 0.6928  8 Pr 3.15-3.30
Zn2 0.1708 0.2500 0.3072  8 Pr 3.15-3.30
Au1 0.6627 0.7500 0.3227  8 Pr 3.17-3.29
Au2 0.9854 0.2500 0.6773  8 Pr 3.18-3.29